Compound: Ho7CuI12
Source: Alexandria
Functional: PBE-GGA
Structure: relaxed

Total magnetic moment: 0.00 μB/cell
Fermi-level density of states: 0.458 states/eV/atom
Energy: -3.866 eV per atom
Formation energy without anion corrections: -1129 meV/atom

Cell: 9.6587 9.6587 9.6587 Å, 107.68 107.68 107.68°
Closest atoms and distances in Å follow each position.
Fractional coordinates of all 20 atoms:
I (0.8435, 0.6077, 0.5274)  3 Ho 3.06-3.14
I (0.3188, 0.7749, 0.9242)  3 Ho 3.09-3.32
I (0.7749, 0.9242, 0.3188)  3 Ho 3.09-3.32
Ho (0.3047, 0.1042, 0.0345)  1 Cu 2.68
Ho (0.1042, 0.0345, 0.3047)  1 Cu 2.68
I (0.2251, 0.0758, 0.6812)  3 Ho 3.09-3.32
Ho (0.8958, 0.9655, 0.6953)  1 Cu 2.68
Ho (0.9655, 0.6953, 0.8958)  1 Cu 2.68
Ho (0.6953, 0.8958, 0.9655)  1 Cu 2.68
Ho (0.5000, 0.5000, 0.5000)  6 I 3.06
I (0.4726, 0.1565, 0.3923)  3 Ho 3.06-3.14
I (0.5274, 0.8435, 0.6077)  3 Ho 3.06-3.14
I (0.3923, 0.4726, 0.1565)  3 Ho 3.06-3.14
I (0.1565, 0.3923, 0.4726)  3 Ho 3.06-3.14
I (0.0758, 0.6812, 0.2251)  3 Ho 3.09-3.32
Ho (0.0345, 0.3047, 0.1042)  1 Cu 2.68
Cu (0.0000, 0.0000, 0.0000)  6 Ho 2.68
I (0.6077, 0.5274, 0.8435)  3 Ho 3.06-3.14
I (0.6812, 0.2251, 0.0758)  3 Ho 3.09-3.32
I (0.9242, 0.3188, 0.7749)  3 Ho 3.09-3.32

=====

Compound: Ho3CuI3
Source: Alexandria
Functional: PBE-GGA
Structure: relaxed

Total magnetic moment: 0.00 μB/cell
Fermi-level density of states: 0.776 states/eV/atom
Energy: -4.041 eV per atom
Formation energy without anion corrections: -829 meV/atom

Cell: 10.4427 10.4427 10.4427 Å, 109.47 109.47 109.47°
Closest atoms and distances in Å follow each position.
Fractional coordinates of all 28 atoms:
Ho (0.7722, 0.0222, 0.0445)  2 Cu 2.76
Cu (0.0000, 0.0000, 0.2500)  6 Ho 2.76
I (0.4915, 0.9831, 0.7415)  4 Ho 3.15-3.30
Ho (0.5222, 0.4778, 0.7500)  2 Cu 2.76
I (0.0085, 0.7585, 0.5169)  4 Ho 3.15-3.30
I (0.2415, 0.9915, 0.9831)  4 Ho 3.15-3.30
I (0.0085, 0.2500, 0.9915)  4 Ho 3.15-3.30
Ho (0.7278, 0.4555, 0.4778)  2 Cu 2.76
Cu (0.5000, 0.2500, 0.5000)  6 Ho 2.76
Ho (0.5222, 0.0445, 0.2722)  2 Cu 2.76
I (0.7500, 0.7585, 0.7415)  4 Ho 3.15-3.30
I (0.7500, 0.9915, 0.5085)  4 Ho 3.15-3.30
I (0.4831, 0.7415, 0.9915)  4 Ho 3.15-3.30
Ho (0.9778, 0.2278, 0.4555)  2 Cu 2.76
Cu (0.7500, 0.2500, 0.2500)  6 Ho 2.76
Ho (0.5445, 0.2722, 0.0222)  2 Cu 2.76
I (0.2585, 0.7415, 0.2500)  4 Ho 3.15-3.30
I (0.4915, 0.5085, 0.2500)  4 Ho 3.15-3.30
Ho (0.7278, 0.2722, 0.7500)  2 Cu 2.76
I (0.2415, 0.2500, 0.7585)  4 Ho 3.15-3.30
Ho (0.2500, 0.0222, 0.4778)  2 Cu 2.76
Ho (0.9778, 0.7500, 0.0222)  2 Cu 2.76
Cu (0.7500, 0.5000, 0.0000)  6 Ho 2.76
Ho (0.2500, 0.2278, 0.2722)  2 Cu 2.76
Ho (0.7722, 0.7500, 0.2278)  2 Cu 2.76
Ho (0.9555, 0.4778, 0.2278)  2 Cu 2.76
I (0.0169, 0.5085, 0.7585)  4 Ho 3.15-3.30
I (0.2585, 0.5169, 0.5085)  4 Ho 3.15-3.30

=====

Compound: KHoCuI5
Source: Alexandria
Functional: PBE-GGA
Structure: relaxed

Total magnetic moment: 0.00 μB/cell
Fermi-level density of states: 0.000 states/eV/atom
Energy: -3.260 eV per atom
Formation energy without anion corrections: -1069 meV/atom

Cell: 8.2425 8.2425 11.2321 Å, 103.95 103.95 105.85°
Closest atoms and distances in Å follow each position.
Fractional coordinates of all 16 atoms:
Ho (0.0000, 0.0000, 0.5000)  6 I 3.02-3.04
I (0.3853, 0.2345, 0.0634)  1 Cu 2.66
I (0.9113, 0.0887, 0.7500)  2 Ho 3.04
I (0.6751, 0.0804, 0.3769)  1 Cu 2.62
I (0.0887, 0.9113, 0.2500)  2 Ho 3.04
Ho (0.0000, 0.0000, 0.0000)  6 I 3.02-3.04
I (0.7655, 0.6147, 0.4366)  1 Cu 2.66
I (0.0804, 0.6751, 0.8769)  1 Cu 2.62
Cu (0.6904, 0.3096, 0.2500)  4 I 2.62-2.66
I (0.9196, 0.3249, 0.1231)  1 Cu 2.62
I (0.6147, 0.7655, 0.9366)  1 Cu 2.66
I (0.3249, 0.9196, 0.6231)  1 Cu 2.62
K (0.6365, 0.3635, 0.7500)  5 I 3.54-3.61
Cu (0.3096, 0.6904, 0.7500)  4 I 2.62-2.66
K (0.3635, 0.6365, 0.2500)  5 I 3.54-3.61
I (0.2345, 0.3853, 0.5634)  1 Cu 2.66

=====

Compound: K2HoCuI6
Source: Alexandria
Functional: PBE-GGA
Structure: relaxed

Total magnetic moment: 0.07 μB/cell
Fermi-level density of states: 0.000 states/eV/atom
Energy: -3.142 eV per atom
Formation energy without anion corrections: -1125 meV/atom

Cell: 8.4831 9.4064 10.5116 Å, 90.00 89.40 90.00°
Closest atoms and distances in Å follow each position.
Fractional coordinates of all 20 atoms:
I (0.7007, 0.3407, 0.5532)  1 Ho 3.00
Cu (0.0000, 0.5000, 0.0000)  2 I 2.48
K (0.9714, 0.1014, 0.7459)  8 I 3.54-3.84
K (0.4714, 0.3986, 0.2459)  8 I 3.54-3.84
I (0.8373, 0.7785, 0.5512)  1 Ho 3.01
K (0.5286, 0.6014, 0.7541)  8 I 3.54-3.84
I (0.3373, 0.7215, 0.0512)  1 Ho 3.01
I (0.2007, 0.1593, 0.0532)  1 Ho 3.00
I (0.8911, 0.5300, 0.2185)  1 Cu 2.48
I (0.2993, 0.6593, 0.4468)  1 Ho 3.00
Ho (0.0000, 0.5000, 0.5000)  6 I 3.00-3.12
I (0.1089, 0.4700, 0.7815)  1 Cu 2.48
K (0.0286, 0.8986, 0.2541)  8 I 3.54-3.84
Ho (0.5000, 0.0000, 0.0000)  6 I 3.00-3.12
I (0.3911, 0.9700, 0.7185)  1 Cu 2.48
I (0.7993, 0.8407, 0.9468)  1 Ho 3.00
I (0.6089, 0.0300, 0.2815)  1 Cu 2.48
Cu (0.5000, 0.0000, 0.5000)  2 I 2.48
I (0.1627, 0.2215, 0.4488)  1 Ho 3.01
I (0.6627, 0.2785, 0.9488)  1 Ho 3.01

=====

Q: Which formula does entry 4 have?
A: K2HoCuI6